1.
## TbNdFe (PBE)

Data for a relaxed TbNdFe crystal.

```
data_TbNdFe
_space_group_name_H-M_alt 'F -4 3 m'
_space_group_IT_number 216
_space_group_name_Hall 'F -4 2 3'
_cell_length_a 6.715
_cell_length_b 6.715
_cell_length_c 6.715
_cell_angle_alpha 90.00
_cell_angle_beta 90.00
_cell_angle_gamma 90.00
loop_
_atom_site_label
_atom_site_type_symbol
_atom_site_fract_x
_atom_site_fract_y
_atom_site_fract_z
Tb1 Tb 0.000 0.000 0.000
Nd1 Nd 0.000 0.000 0.500
Fe1 Fe 0.250 0.250 0.750
```

Output
Volume ... 25.233 Å³/atom
Energy relative to the elements ... 0.251 eV/atom
Spin magnetization ... 0.102 μB/atom
Energy above the most stable polymorph in this dataset ... 0.000 eV/f.u.

---

2.
## ErZnNi (PBE)

Data for a relaxed ErZnNi crystal.

```
data_ErZnNi
_space_group_name_H-M_alt 'P -6 2 m'
_space_group_IT_number 189
_space_group_name_Hall 'P -6 -2'
_cell_length_a 6.9671
_cell_length_b 6.9671
_cell_length_c 3.7230
_cell_angle_alpha 90.00
_cell_angle_beta 90.00
_cell_angle_gamma 120.00
loop_
_atom_site_label
_atom_site_type_symbol
_atom_site_fract_x
_atom_site_fract_y
_atom_site_fract_z
Er1 Er 0.0000 0.5901 0.0000
Zn1 Zn 0.0000 0.2447 0.5000
Ni1 Ni 0.0000 0.0000 0.0000
Ni2 Ni 0.3333 0.6667 0.5000
```

Output
Volume ... 17.390 Å³/atom
Energy relative to the elements ... -0.480 eV/atom
Spin magnetization ... 0.001 μB/atom

---

3.
## NdTaO4 (PBE)

Data for a relaxed NdTaO4 crystal.

```
data_NdTaO4
_space_group_name_H-M_alt 'C m m m'
_space_group_IT_number 65
_space_group_name_Hall '-C 2 2'
_cell_length_a 7.083
_cell_length_b 7.213
_cell_length_c 3.318
_cell_angle_alpha 90.00
_cell_angle_beta 90.00
_cell_angle_gamma 90.00
loop_
_atom_site_label
_atom_site_type_symbol
_atom_site_fract_x
_atom_site_fract_y
_atom_site_fract_z
Nd1 Nd 0.000 0.000 0.000
Ta1 Ta 0.000 0.500 0.500
O1 O 0.000 0.327 0.000
O2 O 0.227 0.000 0.500
```

Output
Volume ... 14.125 Å³/atom
VASP energy ... -54.4 eV/f.u.
Spin magnetization ... 0.000 μB/atom

---

4.
## Nd2YCd3Cu2Ag (PBE)

Data for a relaxed Nd2YCd3Cu2Ag crystal.

```
data_Nd2YCd3Cu2Ag
_space_group_name_H-M_alt 'A m m 2'
_space_group_IT_number 38
_cell_length_a 3.945
_cell_length_b 13.521
_cell_length_c 7.778
_cell_angle_alpha 90.00
_cell_angle_beta 90.00
_cell_angle_gamma 90.00
loop_
_space_group_symop_operation_xyz
'x,y,z'
'-x,-y,z'
'-x,y,z'
'x,-y,z'
'x,y+1/2,z+1/2'
'-x,-y+1/2,z+1/2'
'-x,y+1/2,z+1/2'
'x,-y+1/2,z+1/2'
loop_
_atom_site_label
_atom_site_type_symbol
_atom_site_fract_x
_atom_site_fract_y
_atom_site_fract_z
Nd1 Nd 0.000 0.205 0.000
Y1 Y 0.000 0.000 0.384
Cd1 Cd 0.500 0.000 0.063
Cd2 Cd 0.500 0.131 0.660
Cu1 Cu 0.500 0.164 0.296
Ag1 Ag 0.000 0.000 0.793
```

Output
Volume ... 23.048 Å³/atom
Energy relative to the elements ... -0.297 eV/atom
Spin magnetization ... 0.003 μB/atom

---

5.
## NaLuFeMo (PBE)

Data for a relaxed NaLuFeMo crystal.

```
data_NaLuFeMo
_space_group_name_H-M_alt 'F -4 3 m'
_space_group_IT_number 216
_space_group_name_Hall 'F -4 2 3'
_cell_length_a 6.783
_cell_length_b 6.783
_cell_length_c 6.783
_cell_angle_alpha 90.00
_cell_angle_beta 90.00
_cell_angle_gamma 90.00
loop_
_atom_site_label
_atom_site_type_symbol
_atom_site_fract_x
_atom_site_fract_y
_atom_site_fract_z
Na1 Na 0.000 0.000 0.000
Lu1 Lu 0.000 0.000 0.500
Fe1 Fe 0.250 0.250 0.250
Mo1 Mo 0.250 0.250 0.750
```

Output
Volume ... 19.504 Å³/atom
Spin magnetization ... 1.232 μB/atom
Energy above the most stable polymorph in this dataset ... 1.161 eV/f.u.

---

6.
## PrMg (PBE)

Data for a relaxed PrMg crystal.

```
data_PrMg
_space_group_name_H-M_alt 'P m m a'
_space_group_IT_number 51
_cell_length_a 5.542
_cell_length_b 3.893
_cell_length_c 5.545
_cell_angle_alpha 90.00
_cell_angle_beta 90.00
_cell_angle_gamma 90.00
loop_
_space_group_symop_operation_xyz
'x,y,z'
'-x,-y,-z'
'-x+1/2,-y,z'
'x+1/2,y,-z'
'x+1/2,-y,-z'
'-x+1/2,y,z'
'-x,y,-z'
'x,-y,z'
loop_
_atom_site_label
_atom_site_type_symbol
_atom_site_fract_x
_atom_site_fract_y
_atom_site_fract_z
Pr1 Pr 0.250 0.000 0.247
Mg1 Mg 0.250 0.500 0.746
```

Output
Volume ... 29.909 Å³/atom
Spin magnetization ... 0.001 μB/atom
Energy above the most stable polymorph in this dataset ... 0.000 eV/f.u.

---

7.
## MgNi2Os6 (PBE)

Data for a relaxed MgNi2Os6 crystal.

```
data_MgNi2Os6
_space_group_name_H-M_alt 'C 1 2/m 1'
_space_group_IT_number 12
_cell_length_a 8.542
_cell_length_b 3.772
_cell_length_c 8.216
_cell_angle_alpha 90.00
_cell_angle_beta 109.63
_cell_angle_gamma 90.00
loop_
_space_group_symop_operation_xyz
'x,y,z'
'-x,-y,-z'
'-x,y,-z'
'x,-y,z'
'x+1/2,y+1/2,z'
'-x+1/2,-y+1/2,-z'
'-x+1/2,y+1/2,-z'
'x+1/2,-y+1/2,z'
loop_
_atom_site_label
_atom_site_type_symbol
_atom_site_fract_x
_atom_site_fract_y
_atom_site_fract_z
Mg1 Mg 0.000 0.000 0.000
Ni1 Ni 0.165 0.500 0.221
Os1 Os 0.005 0.000 0.345
Os2 Os 0.169 0.500 0.574
Os3 Os 0.178 0.500 0.891
```

Output
Volume ... 13.853 Å³/atom
VASP energy ... -78.3 eV/f.u.
Spin magnetization ... 0.002 μB/atom

---

8.
## HfPbO3 (PBE)

Data for a relaxed HfPbO3 crystal.

```
data_HfPbO3
_space_group_name_H-M_alt 'P n m a'
_space_group_IT_number 62
_cell_length_a 5.829
_cell_length_b 8.193
_cell_length_c 5.759
_cell_angle_alpha 90.00
_cell_angle_beta 90.00
_cell_angle_gamma 90.00
loop_
_space_group_symop_operation_xyz
'x,y,z'
'-x,-y,-z'
'-x+1/2,-y,z+1/2'
'x+1/2,y,-z+1/2'
'x+1/2,-y+1/2,-z+1/2'
'-x+1/2,y+1/2,z+1/2'
'-x,y+1/2,-z'
'x,-y+1/2,z'
loop_
_atom_site_label
_atom_site_type_symbol
_atom_site_fract_x
_atom_site_fract_y
_atom_site_fract_z
Hf1 Hf 0.000 0.000 0.000
Pb1 Pb 0.020 0.250 0.496
O1 O 0.010 0.750 0.063
O2 O 0.217 0.532 0.716
```

Output
Volume ... 13.752 Å³/atom
VASP energy ... -41.3 eV/f.u.
Spin magnetization ... 0.000 μB/atom

---

9.
## LuNp (PBE)

Data for a relaxed LuNp crystal.

```
data_LuNp
_space_group_name_H-M_alt 'F -4 3 m'
_space_group_IT_number 216
_space_group_name_Hall 'F -4 2 3'
_cell_length_a 6.704
_cell_length_b 6.704
_cell_length_c 6.704
_cell_angle_alpha 90.00
_cell_angle_beta 90.00
_cell_angle_gamma 90.00
loop_
_atom_site_label
_atom_site_type_symbol
_atom_site_fract_x
_atom_site_fract_y
_atom_site_fract_z
Lu1 Lu 0.000 0.000 0.000
Np1 Np 0.250 0.250 0.750
```

Output
Volume ... 37.668 Å³/atom
Energy relative to the elements ... 2.432 eV/atom
Spin magnetization ... 2.857 μB/atom
Energy above the most stable polymorph in this dataset ... 4.067 eV/f.u.

---

10.
## NpScPa (PBE)

Data for a relaxed NpScPa crystal.

```
data_NpScPa
_space_group_name_H-M_alt 'F -4 3 m'
_space_group_IT_number 216
_space_group_name_Hall 'F -4 2 3'
_cell_length_a 6.812
_cell_length_b 6.812
_cell_length_c 6.812
_cell_angle_alpha 90.00
_cell_angle_beta 90.00
_cell_angle_gamma 90.00
loop_
_atom_site_label
_atom_site_type_symbol
_atom_site_fract_x
_atom_site_fract_y
_atom_site_fract_z
Np1 Np 0.000 0.000 0.000
Sc1 Sc 0.000 0.000 0.500
Pa1 Pa 0.250 0.250 0.250
```

Output
Volume ... 26.336 Å³/atom
Energy relative to the elements ... 0.953 eV/atom
Spin magnetization ... 2.009 μB/atom
Energy above the most stable polymorph in this dataset ... 0.000 eV/f.u.

---

11.
## HfCdAg2 (PBE)

Data for a relaxed HfCdAg2 crystal.

```
data_HfCdAg2
_space_group_name_H-M_alt 'F -4 3 m'
_space_group_IT_number 216
_space_group_name_Hall 'F -4 2 3'
_cell_length_a 6.722
_cell_length_b 6.722
_cell_length_c 6.722
_cell_angle_alpha 90.00
_cell_angle_beta 90.00
_cell_angle_gamma 90.00
loop_
_atom_site_label
_atom_site_type_symbol
_atom_site_fract_x
_atom_site_fract_y
_atom_site_fract_z
Hf1 Hf 0.000 0.000 0.000
Cd1 Cd 0.250 0.250 0.250
Ag1 Ag 0.000 0.000 0.500
Ag2 Ag 0.250 0.250 0.750
```

Output
Volume ... 18.986 Å³/atom
Energy relative to the elements ... 0.060 eV/atom
Spin magnetization ... 0.000 μB/atom

---

12.
## LaSmSc2Ge2 (PBE)

Data for a relaxed LaSmSc2Ge2 crystal.

```
data_LaSmSc2Ge2
_space_group_name_H-M_alt 'I 4 m m'
_space_group_IT_number 107
_space_group_name_Hall 'I 4 -2'
_cell_length_a 4.328
_cell_length_b 4.328
_cell_length_c 16.063
_cell_angle_alpha 90.00
_cell_angle_beta 90.00
_cell_angle_gamma 90.00
loop_
_atom_site_label
_atom_site_type_symbol
_atom_site_fract_x
_atom_site_fract_y
_atom_site_fract_z
La1 La 0.000 0.000 0.000
Sm1 Sm 0.000 0.000 0.648
Sc1 Sc 0.000 0.500 0.321
Ge1 Ge 0.000 0.000 0.201
Ge2 Ge 0.000 0.000 0.444
```

Output
Volume ... 25.070 Å³/atom
VASP energy ... -35.9 eV/f.u.
Spin magnetization ... 0.304 μB/atom